Run A
Ac4Hg2Pb | PBE | optimized geometry

```
Ac4Hg2Pb
1.0
5.452 0.000 1.703
2.460 4.866 1.703
-0.076 -0.047 9.820
Ac Hg Pb
4 2 1
Direct
0.871 0.871 0.386 Ac
0.380 0.380 0.859 Ac
0.620 0.620 0.141 Ac
0.129 0.129 0.614 Ac
0.248 0.248 0.255 Hg
0.752 0.752 0.745 Hg
0.000 0.000 0.000 Pb
```

Summary:
- Total magnetization: 0.00 Bohr magnetons per cell

=====

Run B
Ac4Hg2Pb | PBE | optimized geometry

```
Ac4Hg2Pb
1.0
8.770 0.062 -0.108
-2.863 8.289 0.108
-3.043 -4.112 7.124
Ac Pb Hg
8 2 4
Direct
0.132 0.893 0.375 Ac
0.268 0.257 0.875 Ac
0.989 0.607 0.732 Ac
0.618 0.743 0.011 Ac
0.761 0.243 0.868 Ac
0.482 0.107 0.239 Ac
0.625 0.757 0.518 Ac
0.125 0.393 0.382 Ac
0.000 0.000 0.000 Pb
0.750 0.500 0.250 Pb
0.875 0.119 0.494 Hg
0.244 0.619 0.125 Hg
0.375 0.881 0.756 Hg
0.506 0.381 0.625 Hg
```

Summary:
- Total magnetization: 0.00 Bohr magnetons per cell

=====

What should be chosen as the least stable of them? Choose run A.

=====

Run A
AcHg2Pb2 | PBE | optimized geometry

```
AcHg2Pb2
1.0
-0.949 5.233 -0.983
-4.413 2.359 1.937
1.153 4.018 5.399
Hg Pb Ac
2 2 1
Direct
0.409 0.409 0.774 Hg
0.591 0.591 0.226 Hg
0.798 0.799 0.604 Pb
0.202 0.201 0.396 Pb
0.000 0.000 0.000 Ac
```

Summary:
- Total magnetization: 0.00 Bohr magnetons per cell

=====

Run B
AcHg2Pb2 | PBE | optimized geometry

```
AcHg2Pb2
1.0
5.150 0.000 0.000
0.000 3.986 0.000
-2.575 -1.993 15.240
Pb Ac Hg
4 2 4
Direct
0.454 0.704 0.908 Pb
0.070 0.820 0.140 Pb
0.546 0.296 0.092 Pb
0.930 0.180 0.860 Pb
0.823 0.573 0.646 Ac
0.177 0.427 0.354 Ac
0.632 0.882 0.264 Hg
0.728 0.978 0.456 Hg
0.368 0.118 0.736 Hg
0.272 0.022 0.544 Hg
```

Summary:
- Total magnetization: 0.00 Bohr magnetons per cell

=====

What should be chosen as the least stable of them? Choose run B.

=====

Run A
Ac2Hg3Pb3 | PBE | optimized geometry

```
Ac2Hg3Pb3
1.0
4.921 0.000 0.000
0.000 4.955 0.000
0.000 0.000 10.018
Ac Pb Hg
2 3 3
Direct
0.000 0.000 0.251 Ac
0.000 0.000 0.749 Ac
0.500 0.500 0.256 Pb
0.500 0.500 0.744 Pb
0.500 0.000 0.000 Pb
0.000 0.500 0.000 Hg
0.500 0.000 0.500 Hg
0.000 0.500 0.500 Hg
```

Summary:
- Total magnetization: 0.00 Bohr magnetons per cell

=====

Run B
Ac2Hg3Pb3 | PBE | optimized geometry

```
Ac2Hg3Pb3
1.0
4.995 0.000 0.000
0.000 4.975 0.000
0.000 0.000 9.848
Pb Hg Ac
3 3 2
Direct
0.000 0.500 0.000 Pb
0.000 0.500 0.500 Pb
0.500 0.000 0.500 Pb
0.500 0.500 0.754 Hg
0.500 0.000 0.000 Hg
0.500 0.500 0.246 Hg
0.000 0.000 0.753 Ac
0.000 0.000 0.247 Ac
```

Summary:
- Total magnetization: 0.00 Bohr magnetons per cell

=====

What should be chosen as the least stable of them? Choose run A.

=====

Run A
Ac2Hg2Pb | PBE | optimized geometry

```
Ac2Hg2Pb
1.0
-1.745 3.217 -3.344
-5.458 -2.250 -2.991
-6.337 6.766 6.141
Ac Hg Pb
4 4 2
Direct
0.326 0.679 0.668 Ac
0.918 0.264 0.900 Ac
0.082 0.736 0.100 Ac
0.674 0.321 0.332 Ac
0.913 0.726 0.449 Hg
0.350 0.195 0.106 Hg
0.087 0.274 0.551 Hg
0.650 0.805 0.894 Hg
0.387 0.899 0.326 Pb
0.613 0.101 0.674 Pb
```

Summary:
- Total magnetization: 0.00 Bohr magnetons per cell

=====

Run B
Ac2Hg2Pb | PBE | optimized geometry

```
Ac2Hg2Pb
1.0
-2.608 3.661 1.537
-6.729 -3.250 -3.676
-1.781 -4.195 6.970
Hg Ac Pb
4 4 2
Direct
0.000 0.626 0.126 Hg
0.000 0.126 0.374 Hg
0.000 0.874 0.626 Hg
0.000 0.374 0.874 Hg
0.500 0.675 0.825 Ac
0.500 0.325 0.175 Ac
0.500 0.825 0.325 Ac
0.500 0.175 0.675 Ac
0.000 0.000 0.000 Pb
0.000 0.500 0.500 Pb
```

Summary:
- Total magnetization: 0.00 Bohr magnetons per cell

=====

What should be chosen as the least stable of them? Choose run A.

=====

Run A
Ac3Hg3Pb | PBE | optimized geometry

```
Ac3Hg3Pb
1.0
7.653 0.007 -0.012
0.024 7.653 -0.012
-0.013 -0.013 8.145
Hg Ac Pb
6 6 2
Direct
0.359 0.359 0.561 Hg
0.248 0.752 0.500 Hg
0.764 0.236 0.000 Hg
0.752 0.248 0.500 Hg
0.236 0.764 0.000 Hg
0.641 0.641 0.439 Hg
0.439 0.054 0.257 Ac
0.054 0.439 0.257 Ac
0.946 0.561 0.743 Ac
0.920 0.920 0.258 Ac
0.080 0.080 0.742 Ac
0.561 0.946 0.743 Ac
0.356 0.356 0.946 Pb
0.644 0.644 0.054 Pb
```

Summary:
- Total magnetization: 0.00 Bohr magnetons per cell

=====

Run B
Ac3Hg3Pb | PBE | optimized geometry

```
Ac3Hg3Pb
1.0
5.208 0.000 0.000
0.000 10.253 0.000
0.000 -5.127 8.880
Hg Pb Ac
6 2 6
Direct
0.750 0.173 0.207 Hg
0.250 0.827 0.793 Hg
0.250 0.966 0.173 Hg
0.750 0.793 0.966 Hg
0.250 0.207 0.034 Hg
0.750 0.034 0.827 Hg
0.750 0.333 0.667 Pb
0.250 0.667 0.333 Pb
0.750 0.431 0.101 Ac
0.250 0.569 0.899 Ac
0.750 0.899 0.330 Ac
0.250 0.101 0.670 Ac
0.250 0.330 0.431 Ac
0.750 0.670 0.569 Ac
```

Summary:
- Total magnetization: 0.00 Bohr magnetons per cell

=====

What should be chosen as the least stable of them? Choose run A.

=====

Run A
Ac2HgPb | PBE | optimized geometry

```
Ac2HgPb
1.0
5.817 0.000 0.000
2.908 5.037 0.000
2.908 1.679 4.749
Ac Pb Hg
2 1 1
Direct
0.250 0.250 0.250 Ac
0.750 0.750 0.750 Ac
0.500 0.500 0.500 Pb
0.000 0.000 0.000 Hg
```

Summary:
- Total magnetization: 0.00 Bohr magnetons per cell

=====

Run B
Ac2HgPb | PBE | optimized geometry

```
Ac2HgPb
1.0
-4.212 0.123 -1.076
0.298 -5.352 -1.778
-1.375 -1.796 5.175
Hg Ac Pb
1 2 1
Direct
0.500 0.500 0.500 Hg
0.000 0.000 0.500 Ac
0.000 0.500 0.000 Ac
0.500 0.000 0.000 Pb
```

Summary:
- Total magnetization: 0.00 Bohr magnetons per cell

=====

What should be chosen as the least stable of them? Choose run A.

=====

Run A
AcHgPb2 | PBE | optimized geometry

```
AcHgPb2
1.0
-0.615 -4.560 1.883
4.704 -1.154 -1.258
1.591 1.626 4.457
Pb Hg Ac
2 1 1
Direct
0.000 0.500 0.000 Pb
0.000 0.000 0.500 Pb
0.500 0.000 0.000 Hg
0.500 0.500 0.500 Ac
```

Summary:
- Total magnetization: 0.00 Bohr magnetons per cell

=====

Run B
AcHgPb2 | PBE | optimized geometry

```
AcHgPb2
1.0
-3.716 -2.414 -2.883
-1.969 -4.645 1.580
-5.742 0.230 2.362
Pb Ac Hg
2 1 1
Direct
0.778 0.778 0.665 Pb
0.222 0.222 0.335 Pb
0.000 0.000 0.000 Ac
0.500 0.500 0.500 Hg
```

Summary:
- Total magnetization: 0.00 Bohr magnetons per cell

=====

Run C
AcHgPb2 | PBE | optimized geometry

```
AcHgPb2
1.0
4.136 0.000 0.000
0.000 4.136 0.000
0.000 0.000 7.481
Pb Ac Hg
2 1 1
Direct
0.000 0.000 0.214 Pb
0.000 0.000 0.786 Pb
0.500 0.500 0.500 Ac
0.500 0.500 0.000 Hg
```

Summary:
- Total magnetization: 0.00 Bohr magnetons per cell

=====

What should be chosen as the least stable of them? Choose run B.

=====

Run A
Ac2Hg4Pb | PBE | optimized geometry

```
Ac2Hg4Pb
1.0
-3.585 4.404 -0.249
-1.562 -0.967 5.379
8.578 3.319 0.085
Ac Hg Pb
2 4 1
Direct
0.381 0.381 0.761 Ac
0.619 0.619 0.239 Ac
0.186 0.186 0.372 Hg
0.500 0.000 0.000 Hg
0.000 0.500 0.000 Hg
0.814 0.814 0.628 Hg
0.000 0.000 0.000 Pb
```

Summary:
- Total magnetization: 0.00 Bohr magnetons per cell

=====

Run B
Ac2Hg4Pb | PBE | optimized geometry

```
Ac2Hg4Pb
1.0
5.261 0.000 1.644
2.374 4.695 1.644
0.160 0.098 8.731
Hg Pb Ac
4 1 2
Direct
0.867 0.867 0.400 Hg
0.437 0.437 0.690 Hg
0.133 0.133 0.600 Hg
0.563 0.563 0.310 Hg
0.000 0.000 0.000 Pb
0.270 0.270 0.189 Ac
0.730 0.730 0.811 Ac
```

Summary:
- Total magnetization: 0.00 Bohr magnetons per cell

=====

What should be chosen as the least stable of them? Choose run A.

=====

Run A
Ac2Hg8Pb | PBE | optimized geometry

```
Ac2Hg8Pb
1.0
5.099 0.063 -1.820
-0.814 6.047 -3.900
-0.650 -0.411 10.648
Hg Ac Pb
8 2 1
Direct
0.083 0.858 0.285 Hg
0.881 0.734 0.757 Hg
0.251 0.621 0.007 Hg
0.917 0.142 0.715 Hg
0.331 0.856 0.616 Hg
0.119 0.266 0.243 Hg
0.749 0.379 0.993 Hg
0.669 0.144 0.384 Hg
0.345 0.390 0.647 Ac
0.655 0.610 0.353 Ac
0.500 0.000 0.000 Pb
```

Summary:
- Total magnetization: 0.00 Bohr magnetons per cell

=====

Run B
Ac2Hg8Pb | PBE | optimized geometry

```
Ac2Hg8Pb
1.0
-2.122 -2.604 -3.656
4.984 -5.437 0.980
-6.501 0.100 7.073
Hg Ac Pb
8 2 1
Direct
0.018 0.710 0.036 Hg
0.852 0.828 0.705 Hg
0.364 0.142 0.729 Hg
0.148 0.172 0.295 Hg
0.636 0.858 0.271 Hg
0.618 0.418 0.236 Hg
0.982 0.290 0.964 Hg
0.382 0.582 0.764 Hg
0.784 0.293 0.568 Ac
0.216 0.707 0.432 Ac
0.500 0.000 0.000 Pb
```

Summary:
- Total magnetization: 0.00 Bohr magnetons per cell

=====

What should be chosen as the least stable of them? Choose run B.

=====

Run A
AcSnHgPb | PBE | optimized geometry

```
AcSnHgPb
1.0
5.616 0.000 0.000
2.808 4.864 0.000
2.808 1.621 4.585
Pb Hg Ac Sn
1 1 1 1
Direct
0.500 0.500 0.500 Pb
0.750 0.750 0.750 Hg
0.000 0.000 0.000 Ac
0.250 0.250 0.250 Sn
```

Summary:
- Total magnetization: 0.00 Bohr magnetons per cell

=====

Run B
AcSnHgPb | PBE | optimized geometry

```
AcSnHgPb
1.0
-4.777 0.578 0.973
-0.471 -4.996 0.654
1.027 0.522 4.731
Sn Ac Pb Hg
1 1 1 1
Direct
0.000 0.500 0.500 Sn
0.500 0.500 0.000 Ac
0.000 0.000 0.000 Pb
0.500 0.000 0.500 Hg
```

Summary:
- Total magnetization: 0.00 Bohr magnetons per cell

=====

What should be chosen as the least stable of them? Choose run A.

=====

Run A
AcTlHgPb | PBE | optimized geometry

```
AcTlHgPb
1.0
4.921 0.000 0.000
0.000 4.952 0.000
0.000 0.000 5.069
Ac Tl Pb Hg
1 1 1 1
Direct
0.500 0.500 0.000 Ac
0.500 0.000 0.500 Tl
0.000 0.000 0.000 Pb
0.000 0.500 0.500 Hg
```

Summary:
- Total magnetization: 0.00 Bohr magnetons per cell

=====

Run B
AcTlHgPb | PBE | optimized geometry

```
AcTlHgPb
1.0
5.602 0.000 0.000
2.801 4.852 0.000
2.801 1.617 4.574
Pb Tl Ac Hg
1 1 1 1
Direct
0.250 0.250 0.250 Pb
0.000 0.000 0.000 Tl
0.750 0.750 0.750 Ac
0.500 0.500 0.500 Hg
```

Summary:
- Total magnetization: 0.00 Bohr magnetons per cell

=====

What should be chosen as the least stable of them? Choose run B.

=====

Run A
Ac2HgPd | PBE | optimized geometry

```
Ac2HgPd
1.0
-1.771 -3.278 2.418
2.638 -2.983 1.967
0.651 2.565 8.032
Pd Ac Hg
1 2 1
Direct
0.666 0.666 0.001 Pd
0.071 0.071 0.787 Ac
0.263 0.263 0.211 Ac
0.500 0.500 0.501 Hg
```

Summary:
- Total magnetization: 0.00 Bohr magnetons per cell

=====

Run B
Ac2HgPd | PBE | optimized geometry

```
Ac2HgPd
1.0
3.802 0.000 0.000
1.901 3.293 0.000
1.901 1.098 10.875
Ac Pd Hg
2 1 1
Direct
0.914 0.914 0.257 Ac
0.086 0.086 0.743 Ac
0.000 0.000 0.000 Pd
0.500 0.500 0.500 Hg
```

Summary:
- Total magnetization: 0.00 Bohr magnetons per cell

=====

Run C
Ac2HgPd | PBE | optimized geometry

```
Ac2HgPd
1.0
-1.267 1.043 3.803
-0.581 -7.842 1.957
7.888 -0.460 0.499
Ac Pd Hg
4 2 2
Direct
0.367 0.501 0.734 Ac
0.633 0.001 0.266 Ac
0.367 0.999 0.734 Ac
0.633 0.499 0.266 Ac
0.208 0.750 0.416 Pd
0.792 0.250 0.584 Pd
0.001 0.750 0.002 Hg
0.999 0.250 0.998 Hg
```

Summary:
- Total magnetization: 0.00 Bohr magnetons per cell

=====

What should be chosen as the least stable of them? Choose run B.